[1]
Material: PdSe2I
Method: DFT, PBE-GGA
State: relaxed

abc: 4.9601 4.9601 4.9601
angles: 60.00 60.00 60.00
Fractional positions:
1 Pd 0.0000 0.0000 0.0000
2 Se 0.2500 0.2500 0.2500
3 Se 0.7500 0.7500 0.7500
4 I 0.5000 0.5000 0.5000

formation energy without anion corrections = 641 meV/atom
M_tot = 0.0 μB per formula unit
symmetry = Fm-3m, No. 225
energy relative to the lowest polymorph listed for this composition = 3.31 eV/f.u.

---

[2]
Material: TaBe2Se
Method: DFT, PBE-GGA
State: relaxed

abc: 3.4236 3.5122 4.4539
angles: 90.00 90.00 90.00
Fractional positions:
1 Ta 0.0000 0.0000 0.0000
2 Be 0.0000 0.5000 0.5000
3 Be 0.5000 0.5000 0.0000
4 Se 0.5000 0.0000 0.5000

formation energy without anion corrections = 276 meV/atom
M_tot = 0.0 μB per formula unit
symmetry = Pmmm, No. 47

---

[3]
Material: BaMgCo4
Method: DFT, PBE-GGA
State: relaxed

abc: 5.1939 5.1939 5.1939
angles: 60.00 60.00 60.00
Fractional positions:
1 Ba 0.0000 0.0000 0.0000
2 Mg 0.2500 0.2500 0.2500
3 Co 0.1313 0.6229 0.6229
4 Co 0.6229 0.1313 0.6229
5 Co 0.6229 0.6229 0.1313
6 Co 0.6229 0.6229 0.6229

ΔH_f (0 K) = 0.39 eV per atom
M_tot = 5.8 μB per formula unit
symmetry = F-43m, No. 216

---

[4]
Material: AsC2
Method: DFT, PBE-GGA
State: relaxed

abc: 3.0406 4.3121 4.4999
angles: 79.42 71.96 70.57
Fractional positions:
1 As 0.0000 0.0000 0.0000
2 C 0.3057 0.6008 0.8106
3 C 0.4404 0.2830 0.8161

ΔH_f (0 K) = 1.28 eV per atom
M_tot = 0.0 μB per formula unit
symmetry = P1, No. 1
energy relative to the lowest polymorph listed for this composition = 2.80 eV/f.u.

---

[5]
Material: CdRe2Ir
Method: DFT, PBE-GGA
State: relaxed

abc: 9.4701 9.4701 9.4701
angles: 17.07 17.07 17.07
Fractional positions:
1 Cd 0.0000 0.0000 0.0000
2 Re 0.2423 0.2423 0.2423
3 Re 0.4988 0.4988 0.4988
4 Ir 0.7547 0.7547 0.7547

ΔH_f (0 K) = 0.15 eV per atom
M_tot = 0.0 μB per formula unit
symmetry = R3m, No. 160

---

[6]
Material: TlSi2Pb
Method: DFT, PBE-GGA
State: relaxed

abc: 7.5540 7.5540 7.5540
angles: 130.92 130.92 71.94
Fractional positions:
1 Tl 0.0000 0.0000 0.0000
2 Tl 0.7500 0.2500 0.5000
3 Si 0.1202 0.6250 0.9952
4 Si 0.3750 0.3702 0.4952
5 Si 0.6298 0.1250 0.0048
6 Si 0.8750 0.8798 0.5048
7 Pb 0.2500 0.7500 0.5000
8 Pb 0.5000 0.5000 0.0000

formation energy without anion corrections = 563 meV/atom
M_tot = 0.0 μB per formula unit
symmetry = I-42d, No. 122
energy relative to the lowest polymorph listed for this composition = 1.47 eV/f.u.

---

[7]
Material: K2ReSbPd
Method: DFT, PBE-GGA
State: relaxed

abc: 6.4319 6.4319 5.0432
angles: 90.00 90.00 90.00
Fractional positions:
1 K 0.0000 0.5000 0.0000
2 K 0.5000 0.0000 0.0000
3 Re 0.0000 0.0000 0.0000
4 Sb 0.0000 0.0000 0.5000
5 Pd 0.5000 0.5000 0.5000

formation energy without anion corrections = 1143 meV/atom
M_tot = 2.3 μB per formula unit
symmetry = P4/mmm, No. 123

---

[8]
Material: Sc2BePb2
Method: DFT, PBE-GGA
State: relaxed

abc: 8.1139 8.1139 8.1139
angles: 150.00 150.00 42.94
Fractional positions:
1 Sc 0.0946 0.0946 0.0000
2 Sc 0.9054 0.9054 0.0000
3 Be 0.5000 0.5000 0.0000
4 Pb 0.2500 0.7500 0.5000
5 Pb 0.7500 0.2500 0.5000

ΔH_f (0 K) = 0.52 eV per atom
M_tot = 0.6 μB per formula unit
symmetry = I4/mmm, No. 139
energy relative to the lowest polymorph listed for this composition = 2.67 eV/f.u.

---

Please write out number 7 again, unchanged.
Material: K2ReSbPd
Method: DFT, PBE-GGA
State: relaxed

abc: 6.4319 6.4319 5.0432
angles: 90.00 90.00 90.00
Fractional positions:
1 K 0.0000 0.5000 0.0000
2 K 0.5000 0.0000 0.0000
3 Re 0.0000 0.0000 0.0000
4 Sb 0.0000 0.0000 0.5000
5 Pd 0.5000 0.5000 0.5000

formation energy without anion corrections = 1143 meV/atom
M_tot = 2.3 μB per formula unit
symmetry = P4/mmm, No. 123

---

- What is the M_tot in the eighth record?
  0.6 μB per formula unit